1.
The following is a DFT calculation (SCAN) of CaAg3Os at its PBEsol-relaxed geometry.

Values from the calculation:
Its symmetry is Pm-3m (221). The final energy comes out at -33.117 eV per atom. The calculation puts the density of states at the Fermi level at 2.92 states/eV/f.u.

a b c (Å): 4.779 4.779 4.779
angles (deg): 90.00 90.00 90.00
Last column: magnetic moment on the atom in μB.
Element x y z (fractional)
Ag 0.000 0.500 0.000  -0.05
Ag 0.000 0.000 0.500  -0.05
Ca 0.000 0.000 0.000  -0.05
Ag 0.500 0.000 0.000  -0.05
Os 0.500 0.500 0.500  1.50

***

2.
The following is a DFT calculation (SCAN) of Ca2AgOs at its PBEsol-relaxed geometry.

Values from the calculation:
Its symmetry is Imm2 (44). The final energy comes out at -30.318 eV per atom. The calculation puts the density of states at the Fermi level at 2.80 states/eV/f.u.

a b c (Å): 3.070 5.052 6.316
angles (deg): 113.58 104.07 90.00
Element x y z (fractional)
Os 0.517 0.517 0.035
Ca 0.981 0.981 0.962
Ag 0.215 0.715 0.430
Ca 0.786 0.286 0.573

***

3.
The following is a DFT calculation (SCAN) of Ca2AgOs at its PBEsol-relaxed geometry.

Values from the calculation:
Its symmetry is I-4m2 (119). The final energy comes out at -30.231 eV per atom. The calculation puts the density of states at the Fermi level at 2.59 states/eV/f.u.

a b c (Å): 4.267 4.267 5.395
angles (deg): 113.29 113.29 90.00
Last column: magnetic moment on the atom in μB.
Element x y z (fractional)
Ca 0.750 0.250 0.500  0.00
Ca 0.000 0.000 0.000  -0.01
Ag 0.250 0.750 0.500  0.00
Os 0.500 0.500 0.000  0.39

***

4.
The following is a DFT calculation (SCAN) of CaAg2P2 at its PBEsol-relaxed geometry.

Values from the calculation:
Its symmetry is I4/mmm (139). The final energy comes out at -19.065 eV per atom. The calculation puts the density of states at the Fermi level at 1.73 states/eV/f.u.

a b c (Å): 4.116 4.116 6.144
angles (deg): 109.57 109.57 90.00
Element x y z (fractional)
Ca 0.000 0.000 0.000
P 0.396 0.396 0.791
Ag 0.250 0.750 0.500
P 0.604 0.604 0.209
Ag 0.750 0.250 0.500

***

5.
The following is a DFT calculation (SCAN) of Ca4AgP at its PBEsol-relaxed geometry.

Values from the calculation:
Its symmetry is F-43m (216). The final energy comes out at -12.921 eV per atom. The calculation puts the density of states at the Fermi level at 4.16 states/eV/f.u.

a b c (Å): 6.267 6.267 6.267
angles (deg): 60.00 60.00 60.00
Element x y z (fractional)
Ag 0.000 0.000 0.000
Ca 0.376 0.376 0.872
Ca 0.376 0.376 0.376
P 0.750 0.750 0.750
Ca 0.872 0.376 0.376
Ca 0.376 0.872 0.376

***

6.
The following is a DFT calculation (SCAN) of CaAgPb2 at its PBEsol-relaxed geometry.

Values from the calculation:
Its symmetry is P4/mmm (123). The final energy comes out at -48.478 eV per atom. The calculation puts the density of states at the Fermi level at 1.85 states/eV/f.u.

a b c (Å): 4.494 4.704 4.712
angles (deg): 90.00 90.00 90.00
Element x y z (fractional)
Ag 0.500 0.500 0.000
Pb 0.000 0.500 0.500
Pb 0.000 0.000 0.000
Ca 0.500 0.000 0.500

***

7.
The following is a DFT calculation (SCAN) of CaAgPb2 at its PBEsol-relaxed geometry.

Values from the calculation:
Its symmetry is I-4m2 (119). The final energy comes out at -48.459 eV per atom. The calculation puts the density of states at the Fermi level at 1.20 states/eV/f.u.

a b c (Å): 4.589 4.589 5.786
angles (deg): 113.36 113.36 90.00
Element x y z (fractional)
Ca 0.250 0.750 0.500
Pb 0.750 0.250 0.500
Pb 0.000 0.000 0.000
Ag 0.500 0.500 0.000

***

8.
The following is a DFT calculation (SCAN) of Ca2AgPb at its PBEsol-relaxed geometry.

Values from the calculation:
Its symmetry is P4/mmm (123). The final energy comes out at -32.187 eV per atom. The calculation puts the density of states at the Fermi level at 1.37 states/eV/f.u.

a b c (Å): 3.645 5.360 5.360
angles (deg): 89.99 90.00 90.00
Element x y z (fractional)
Ca 0.000 0.000 0.500
Pb 0.500 0.500 0.500
Ag 0.500 0.000 0.000
Ca 0.000 0.500 0.000

***

9.
The following is a DFT calculation (SCAN) of CaAgPb at its PBEsol-relaxed geometry.

Values from the calculation:
Its symmetry is P-6m2 (187). The final energy comes out at -39.463 eV per atom. The calculation puts the density of states at the Fermi level at 0.59 states/eV/f.u.

a b c (Å): 3.552 4.886 4.886
angles (deg): 120.00 90.00 90.00
Element x y z (fractional)
Ca 0.000 0.333 0.667
Ag 0.500 0.000 0.000
Pb 0.500 0.667 0.333

***

10.
The following is a DFT calculation (SCAN) of CaAg3Pb at its PBEsol-relaxed geometry.

Values from the calculation:
Its symmetry is Pm-3m (221). The final energy comes out at -35.627 eV per atom. The calculation puts the density of states at the Fermi level at 1.53 states/eV/f.u.

a b c (Å): 5.188 5.188 5.188
angles (deg): 90.00 90.00 90.00
Element x y z (fractional)
Ag 0.000 0.500 0.000
Pb 0.000 0.000 0.000
Ca 0.500 0.500 0.500
Ag 0.000 0.000 0.500
Ag 0.500 0.000 0.000

***

11.
The following is a DFT calculation (SCAN) of Ca2AgPb at its PBEsol-relaxed geometry.

Values from the calculation:
Its symmetry is Cm (8). The final energy comes out at -32.059 eV per atom. The calculation puts the density of states at the Fermi level at 1.75 states/eV/f.u.

a b c (Å): 3.784 5.104 6.365
angles (deg): 112.39 107.29 90.00
Element x y z (fractional)
Pb 0.466 0.473 0.933
Ag 0.761 0.253 0.522
Ca 0.031 0.035 0.062
Ca 0.242 0.738 0.483

***

12.
The following is a DFT calculation (SCAN) of Ca2Ag2Pb at its PBEsol-relaxed geometry.

Values from the calculation:
Its symmetry is I4/mmm (139). The final energy comes out at -31.842 eV per atom. The calculation puts the density of states at the Fermi level at 0.59 states/eV/f.u.

a b c (Å): 5.755 5.755 5.755
angles (deg): 90.78 119.55 119.55
Element x y z (fractional)
Ag 0.000 0.656 0.656
Ca 0.500 0.250 0.750
Ag 0.000 0.344 0.344
Ca 0.500 0.750 0.250
Pb 0.000 0.000 0.000

***

13.
The following is a DFT calculation (SCAN) of CaAgPb2 at its PBEsol-relaxed geometry.

Values from the calculation:
Its symmetry is R-3m (166). The final energy comes out at -48.227 eV per atom. The calculation puts the density of states at the Fermi level at 3.78 states/eV/f.u.

a b c (Å): 3.641 3.641 9.639
angles (deg): 79.11 79.11 60.00
Element x y z (fractional)
Ca 0.000 0.000 0.000
Pb 0.240 0.240 0.280
Pb 0.760 0.760 0.720
Ag 0.500 0.500 0.500

***

14.
The following is a DFT calculation (SCAN) of Ca2AgPd at its PBEsol-relaxed geometry.

Values from the calculation:
Its symmetry is Fm-3m (225). The final energy comes out at -21.375 eV per atom. The calculation puts the density of states at the Fermi level at 1.93 states/eV/f.u.

a b c (Å): 5.015 5.015 5.015
angles (deg): 60.00 60.00 60.00
Element x y z (fractional)
Pd 0.000 0.000 0.000
Ag 0.500 0.500 0.500
Ca 0.250 0.250 0.250
Ca 0.750 0.750 0.750

***

15.
The following is a DFT calculation (SCAN) of CaPmAg2 at its PBEsol-relaxed geometry.

Values from the calculation:
Its symmetry is Fm-3m (225). The final energy comes out at -29.437 eV per atom. The calculation puts the density of states at the Fermi level at 2.70 states/eV/f.u.

a b c (Å): 5.135 5.135 5.135
angles (deg): 60.00 60.00 60.00
Element x y z (fractional)
Ca 0.500 0.500 0.500
Ag 0.250 0.250 0.250
Pm 0.000 0.000 0.000
Ag 0.750 0.750 0.750

***

16.
The following is a DFT calculation (SCAN) of CaPrAg2 at its PBEsol-relaxed geometry.

Values from the calculation:
Its symmetry is Fm-3m (225). The final energy comes out at -29.270 eV per atom. The calculation puts the density of states at the Fermi level at 2.67 states/eV/f.u.

a b c (Å): 5.177 5.177 5.177
angles (deg): 60.00 60.00 60.00
Element x y z (fractional)
Ag 0.250 0.250 0.250
Pr 0.000 0.000 0.000
Ca 0.500 0.500 0.500
Ag 0.750 0.750 0.750

***

17.
The following is a DFT calculation (SCAN) of CaAgPt at its PBEsol-relaxed geometry.

Values from the calculation:
Its symmetry is F-43m (216). The final energy comes out at -37.072 eV per atom. The calculation puts the density of states at the Fermi level at 1.70 states/eV/f.u.

a b c (Å): 4.584 4.584 4.584
angles (deg): 60.00 60.00 60.00
Element x y z (fractional)
Ca 0.250 0.250 0.250
Pt 0.000 0.000 0.000
Ag 0.500 0.500 0.500

***

18.
The following is a DFT calculation (SCAN) of CaAgPt2 at its PBEsol-relaxed geometry.

Values from the calculation:
Its symmetry is P4mm (99). The final energy comes out at -45.589 eV per atom. The calculation puts the density of states at the Fermi level at 2.52 states/eV/f.u.

a b c (Å): 3.479 3.479 5.959
angles (deg): 90.00 90.00 90.00
Element x y z (fractional)
Pt 0.000 0.000 0.021
Ag 0.000 0.000 0.471
Pt 0.500 0.500 0.248
Ca 0.500 0.500 0.761

***

19.
The following is a DFT calculation (SCAN) of CaAgPt2 at its PBEsol-relaxed geometry.

Values from the calculation:
Its symmetry is P4/mmm (123). The final energy comes out at -45.741 eV per atom. The calculation puts the density of states at the Fermi level at 1.33 states/eV/f.u.

a b c (Å): 2.936 2.936 8.014
angles (deg): 90.00 90.00 90.00
Element x y z (fractional)
Pt 0.000 0.000 0.239
Ca 0.500 0.500 0.500
Pt 0.000 0.000 0.761
Ag 0.500 0.500 0.000

***

20.
The following is a DFT calculation (SCAN) of Ca2TiAgPt at its PBEsol-relaxed geometry.

Values from the calculation:
Its symmetry is P4/mmm (123). The final energy comes out at -26.928 eV per atom. The calculation puts the density of states at the Fermi level at 3.75 states/eV/f.u.

a b c (Å): 4.957 5.290 5.290
angles (deg): 90.00 90.00 90.00
Last column: magnetic moment on the atom in μB.
Element x y z (fractional)
Ca 0.000 0.500 0.000  0.06
Ca 0.000 0.000 0.500  0.06
Ag 0.000 0.000 0.000  0.02
Ti 0.500 0.500 0.500  2.03
Pt 0.500 0.000 0.000  -0.02

***

21.
The following is a DFT calculation (SCAN) of RbCa3Ag at its PBEsol-relaxed geometry.

Values from the calculation:
Its symmetry is Pm-3m (221). The final energy comes out at -16.248 eV per atom. The calculation puts the density of states at the Fermi level at 3.94 states/eV/f.u.

a b c (Å): 5.932 5.932 5.932
angles (deg): 90.00 90.00 90.00
Element x y z (fractional)
Ca 0.000 0.000 0.500
Ca 0.000 0.500 0.000
Ca 0.500 0.000 0.000
Ag 0.000 0.000 0.000
Rb 0.500 0.500 0.500

***

22.
The following is a DFT calculation (SCAN) of Rb3CaAg at its PBEsol-relaxed geometry.

Values from the calculation:
Its symmetry is Pm-3m (221). The final energy comes out at -19.902 eV per atom. The calculation puts the density of states at the Fermi level at 6.12 states/eV/f.u.

a b c (Å): 7.596 7.596 7.596
angles (deg): 90.00 90.00 90.00
Element x y z (fractional)
Ag 0.500 0.500 0.500
Rb 0.000 0.500 0.000
Ca 0.000 0.000 0.000
Rb 0.500 0.000 0.000
Rb 0.000 0.000 0.500

***

23.
The following is a DFT calculation (SCAN) of RbCa2Ag at its PBEsol-relaxed geometry.

Values from the calculation:
Its symmetry is Fm-3m (225). The final energy comes out at -17.643 eV per atom. The calculation puts the density of states at the Fermi level at 4.90 states/eV/f.u.

a b c (Å): 5.702 5.702 5.702
angles (deg): 60.00 60.00 60.00
Element x y z (fractional)
Ag 0.500 0.500 0.500
Ca 0.750 0.750 0.750
Rb 0.000 0.000 0.000
Ca 0.250 0.250 0.250

***

24.
The following is a DFT calculation (SCAN) of CaRe2Ag at its PBEsol-relaxed geometry.

Values from the calculation:
The energy above the lowest structure with this stoichiometry comes out at 0 meV/atom. Its symmetry is C2/m (12). The final energy comes out at -45.220 eV per atom. The calculation puts the density of states at the Fermi level at 2.00 states/eV/f.u.

a b c (Å): 2.786 4.713 5.621
angles (deg): 106.46 104.35 90.00
Element x y z (fractional)
Ag 0.000 0.500 0.000
Ca 0.500 0.000 0.000
Re 0.731 0.737 0.463
Re 0.269 0.263 0.537

***

25.
The following is a DFT calculation (SCAN) of CaRe2Ag at its PBEsol-relaxed geometry.

Values from the calculation:
The energy above the lowest structure with this stoichiometry comes out at 506 meV/atom. Its symmetry is P4/mmm (123). The final energy comes out at -44.714 eV per atom. The calculation puts the density of states at the Fermi level at 2.48 states/eV/f.u.

a b c (Å): 3.433 3.433 6.561
angles (deg): 90.00 90.00 90.00
Element x y z (fractional)
Ca 0.500 0.500 0.500
Re 0.000 0.000 0.823
Ag 0.500 0.500 0.000
Re 0.000 0.000 0.177

***

26.
The following is a DFT calculation (SCAN) of CaReAg3 at its PBEsol-relaxed geometry.

Values from the calculation:
Its symmetry is Pm-3m (221). The final energy comes out at -32.932 eV per atom. The calculation puts the density of states at the Fermi level at 3.47 states/eV/f.u.

a b c (Å): 4.834 4.834 4.834
angles (deg): 90.00 90.00 90.00
Last column: magnetic moment on the atom in μB.
Element x y z (fractional)
Ca 0.000 0.000 0.000  -0.09
Ag 0.000 0.500 0.000  -0.08
Ag 0.500 0.000 0.000  -0.08
Re 0.500 0.500 0.500  2.73
Ag 0.000 0.000 0.500  -0.08

***

27.
The following is a DFT calculation (SCAN) of CaRe2Ag at its PBEsol-relaxed geometry.

Values from the calculation:
The energy above the lowest structure with this stoichiometry comes out at 156 meV/atom. Its symmetry is I4/mmm (139). The final energy comes out at -45.064 eV per atom. The calculation puts the density of states at the Fermi level at 2.19 states/eV/f.u.

a b c (Å): 3.779 3.779 5.558
angles (deg): 109.87 109.87 90.00
Element x y z (fractional)
Ca 0.500 0.500 0.000
Ag 0.000 0.000 0.000
Re 0.750 0.250 0.500
Re 0.250 0.750 0.500

***

28.
The following is a DFT calculation (SCAN) of CaReAgSn2 at its PBEsol-relaxed geometry.

Values from the calculation:
Its symmetry is P4/mmm (123). The final energy comes out at -34.852 eV per atom. The calculation puts the density of states at the Fermi level at 3.61 states/eV/f.u.

a b c (Å): 4.671 5.468 5.468
angles (deg): 90.00 90.00 90.00
Last column: magnetic moment on the atom in μB.
Element x y z (fractional)
Re 0.500 0.000 0.000  1.65
Ca 0.000 0.000 0.000  -0.02
Ag 0.500 0.500 0.500  0.00
Sn 0.000 0.500 0.000  -0.04
Sn 0.000 0.000 0.500  -0.04

***

29.
The following is a DFT calculation (SCAN) of Ca2AgRh at its PBEsol-relaxed geometry.

Values from the calculation:
Its symmetry is Fm-3m (225). The final energy comes out at -21.448 eV per atom. The calculation puts the density of states at the Fermi level at 1.04 states/eV/f.u.

a b c (Å): 4.924 4.924 4.924
angles (deg): 60.00 60.00 60.00
Element x y z (fractional)
Ag 0.500 0.500 0.500
Ca 0.250 0.250 0.250
Ca 0.750 0.750 0.750
Rh 0.000 0.000 0.000

***

30.
The following is a DFT calculation (SCAN) of CaAgRh2 at its PBEsol-relaxed geometry.

Values from the calculation:
Its symmetry is P4/mmm (123). The final energy comes out at -27.169 eV per atom. The calculation puts the density of states at the Fermi level at 2.70 states/eV/f.u.

a b c (Å): 3.993 3.993 4.119
angles (deg): 90.00 90.00 90.00
Last column: magnetic moment on the atom in μB.
Element x y z (fractional)
Rh 0.000 0.500 0.000  0.60
Rh 0.500 0.000 0.000  0.60
Ca 0.000 0.000 0.500  -0.03
Ag 0.500 0.500 0.500  0.03

***

What did we get for E_form? Answer: 2.012; 0.326; 0.412; -0.426; 0.482; -0.330; -0.311; -0.569; -0.526; 0.282; -0.440; -0.274; -0.078; -0.508; -0.341; -0.339; 0.003; -0.235; -0.387; 0.456; -0.029; 0.747; 0.215; 0.586; 1.092; 2.040; 0.742; 1.942; -0.332; -0.025 eV/atom, in the order shown.